Here is a geometry-optimized Na3CaO structure from Alexandria. Energies are from GGA-PBE.

Uncorrected energy in eV per cell: -12.85
N(E_F) in states/eV/atom: 0.6342
Formation energy (no corrections) in eV per atom: -0.386
Distance to the lowest polymorph of the same formula in eV per atom: 0.000
Magnetic moment in μB/atom: 0.000

a b c (Å): 5.0208 5.0208 5.0208
angles (deg): 90.00 90.00 90.00
Last column: nearest neighbours and their distance in Å.
Atoms (fractional coordinates):
Na 0.0000 0.5000 0.0000  2 O 2.51
Na 0.0000 0.0000 0.5000  2 O 2.51
Na 0.5000 0.0000 0.0000  2 O 2.51
Ca 0.5000 0.5000 0.5000  12 Na 3.55
O 0.0000 0.0000 0.0000  6 Na 2.51



Here is a geometry-optimized Sr2AuF structure from Alexandria. Energies are from GGA-PBE.

Uncorrected energy in eV per cell: -15.34
N(E_F) in states/eV/atom: 0.4122
Formation energy (no corrections) in eV per atom: -1.706
Distance to the lowest polymorph of the same formula in eV per atom: 0.000
Magnetic moment in μB/atom: 0.000

a b c (Å): 4.6952 4.6952 8.3662
angles (deg): 73.70 73.70 60.00
Last column: nearest neighbours and their distance in Å.
Atoms (fractional coordinates):
Sr 0.0969 0.0969 0.7093  1 F 2.30
Sr 0.9031 0.9031 0.2907  1 F 2.30
Au 0.5000 0.5000 0.5000  6 Sr 3.18
F 0.0000 0.0000 0.0000  2 Sr 2.30



Here is a geometry-optimized AlCr2Ru3 structure from Alexandria. Energies are from GGA-PBE.

Uncorrected energy in eV per cell: -51.89
N(E_F) in states/eV/atom: 0.8966
ΔE_f in meV/atom: -179
Magnetic moment in μB/atom: 0.526

a b c (Å): 2.9578 2.9578 9.1475
angles (deg): 90.00 90.00 90.00
Last column: nearest neighbours and their distance in Å.
Atoms (fractional coordinates):
Al 0.5000 0.5000 0.5000  8 Ru 2.61
Cr 0.5000 0.5000 0.8294  8 Ru 2.55-2.61
Cr 0.5000 0.5000 0.1706  8 Ru 2.55-2.61
Ru 0.0000 0.0000 0.0000  8 Cr 2.61
Ru 0.0000 0.0000 0.6698  4 Cr 2.55, 4 Al 2.61
Ru 0.0000 0.0000 0.3302  4 Cr 2.55, 4 Al 2.61



Here is a geometry-optimized HfZnSN2 structure from Alexandria. Energies are from GGA-PBE.

Uncorrected energy in eV per cell: -28.25
N(E_F) in states/eV/atom: 0.6029
Formation energy (no corrections) in eV per atom: 0.751
Distance to the lowest polymorph of the same formula in eV per atom: 0.498
Magnetic moment in μB/atom: 0.000

a b c (Å): 3.8104 3.8104 4.6601
angles (deg): 90.00 90.00 90.00
Last column: nearest neighbours and their distance in Å.
Atoms (fractional coordinates):
Zn 0.0000 0.0000 0.0000  4 N 1.91
Hf 0.5000 0.5000 0.5000  4 S 2.69, 8 N 3.01
S 0.0000 0.0000 0.5000  2 Zn 2.33
N 0.0000 0.5000 0.0000  2 Zn 1.91
N 0.5000 0.0000 0.0000  2 Zn 1.91



Here is a geometry-optimized CoNi15Sb4 structure from Alexandria. Energies are from GGA-PBE.

Uncorrected energy in eV per cell: -112.30
N(E_F) in states/eV/atom: 0.9394
Formation energy (no corrections) in eV per atom: -0.099
Magnetic moment in μB/atom: 0.179

a b c (Å): 3.6998 3.6998 18.2653
angles (deg): 90.00 90.00 90.00
Last column: nearest neighbours and their distance in Å.
Atoms (fractional coordinates):
Co 0.0000 0.0000 0.0000  12 Ni 2.47-2.62
Ni 0.5000 0.5000 0.0000  8 Ni 2.47, 4 Co 2.62
Ni 0.5000 0.5000 0.1951  8 Ni 2.61-2.67, 4 Sb 2.62
Ni 0.5000 0.5000 0.3983  4 Sb 2.62, 8 Ni 2.62-2.63
Ni 0.5000 0.5000 0.6017  4 Sb 2.62, 8 Ni 2.62-2.63
Ni 0.5000 0.5000 0.8049  8 Ni 2.61-2.67, 4 Sb 2.62
Ni 0.5000 0.0000 0.0897  2 Co 2.47, 8 Ni 2.47-2.67, 2 Sb 2.61
Ni 0.5000 0.0000 0.2956  8 Ni 2.61-2.63, 4 Sb 2.62-2.66
Ni 0.5000 0.0000 0.5000  8 Ni 2.62, 4 Sb 2.64
Ni 0.5000 0.0000 0.7044  8 Ni 2.61-2.63, 4 Sb 2.62-2.66
Ni 0.5000 0.0000 0.9103  2 Co 2.47, 8 Ni 2.47-2.67, 2 Sb 2.61
Ni 0.0000 0.5000 0.0897  2 Co 2.47, 8 Ni 2.47-2.67, 2 Sb 2.61
Ni 0.0000 0.5000 0.2956  8 Ni 2.61-2.63, 4 Sb 2.62-2.66
Ni 0.0000 0.5000 0.5000  8 Ni 2.62, 4 Sb 2.64
Ni 0.0000 0.5000 0.7044  8 Ni 2.61-2.63, 4 Sb 2.62-2.66
Ni 0.0000 0.5000 0.9103  2 Co 2.47, 8 Ni 2.47-2.67, 2 Sb 2.61
Sb 0.0000 0.0000 0.1907  12 Ni 2.61-2.66
Sb 0.0000 0.0000 0.3971  12 Ni 2.62-2.64
Sb 0.0000 0.0000 0.6029  12 Ni 2.62-2.64
Sb 0.0000 0.0000 0.8093  12 Ni 2.61-2.66



Here is a geometry-optimized Ba4Pt structure from Alexandria. Energies are from GGA-PBE.

Uncorrected energy in eV per cell: -29.33
N(E_F) in states/eV/atom: 0.8404
ΔE_f in meV/atom: -187
Distance to the lowest polymorph of the same formula in eV per atom: 0.227
Magnetic moment in μB/atom: 0.000

a b c (Å): 9.4551 9.4551 9.4551
angles (deg): 60.00 60.00 60.00
Last column: nearest neighbours and their distance in Å.
Atoms (fractional coordinates):
Ba 0.8778 0.8778 0.8778  1 Pt 2.96
Ba 0.3667 0.8778 0.8778  1 Pt 2.96
Ba 0.8778 0.8778 0.3667  1 Pt 2.96
Ba 0.8833 0.3722 0.3722  1 Pt 2.96
Ba 0.3722 0.3722 0.3722  1 Pt 2.96
Ba 0.8778 0.3667 0.8778  1 Pt 2.96
Ba 0.3722 0.3722 0.8833  1 Pt 2.96
Ba 0.3722 0.8833 0.3722  1 Pt 2.96
Pt 0.5000 0.5000 0.5000  4 Ba 2.96
Pt 0.7500 0.7500 0.7500  4 Ba 2.96



Which value of N(E_F) does entry 6 give? 0.8404 states/eV/atom